Below is YFeTeN2 after structural relaxation, with properties calculated at the GGA-PBE level.

Properties
The uncorrected energy is -6.51 eV/atom. Its uncorrected formation energy is 2.150 eV/f.u. The calculated density comes out at 6.1 g cm⁻³. The value obtained for the energy above the most stable polymorph in this dataset is 0 meV per atom. For the density of states at the Fermi level, the calculation gives 5.0 states/eV per cell.

```
data_YFeTeN2
_chemical_formula_sum 'Y1 Fe1 Te1 N2'
_cell_length_a 4.023
_cell_length_b 4.023
_cell_length_c 5.085
_cell_angle_alpha 90.00
_cell_angle_beta 90.00
_cell_angle_gamma 90.00
_symmetry_space_group_name_H-M 'P 1'
_symmetry_Int_Tables_number 1
loop_
_symmetry_equiv_pos_as_xyz
'x,y,z'
loop_
_atom_site_label
_atom_site_type_symbol
_atom_site_fract_x
_atom_site_fract_y
_atom_site_fract_z
Y1 Y 0.000 0.000 0.000
Fe1 Fe 0.500 0.500 0.500
Te1 Te 0.500 0.500 0.000
N1 N 0.000 0.500 0.500
N2 N 0.500 0.000 0.500
```